[1]
The following is a DFT calculation (PBE-GGA) of an optimized crystal structure of La5Tl2Cl3.

abc: 4.149 7.944 9.861
angles: 84.30 77.86 74.86
Atoms (fractional coordinates):
La (0.000, 0.000, 0.000)
La (0.093, 0.224, 0.590)
La (0.907, 0.776, 0.410)
La (0.689, 0.404, 0.218)
La (0.311, 0.596, 0.782)
Tl (0.329, 0.074, 0.267)
Tl (0.671, 0.926, 0.733)
Cl (0.500, 0.500, 0.500)
Cl (0.129, 0.641, 0.101)
Cl (0.871, 0.359, 0.899)

Values from the calculation:
* SG: C2/m



[2]
The following is a DFT calculation (PBE-GGA) of an optimized crystal structure of La4TlCl5.

abc: 3.900 8.406 10.130
angles: 114.34 101.10 90.00
Atoms (fractional coordinates):
La (0.673, 0.315, 0.346)
La (0.066, 0.796, 0.133)
La (0.327, 0.685, 0.654)
La (0.934, 0.204, 0.867)
Tl (0.500, 0.000, 0.000)
Cl (0.201, 0.088, 0.402)
Cl (0.161, 0.573, 0.321)
Cl (0.839, 0.427, 0.679)
Cl (0.500, 0.500, 0.000)
Cl (0.799, 0.912, 0.598)

Values from the calculation:
* ΔE to the lowest computed polymorph: 35 meV per atom
* SG: C2/m



[3]
The following is a DFT calculation (PBE-GGA) of an optimized crystal structure of La3TlCl.

abc: 5.468 5.468 5.468
angles: 90.00 90.00 90.00
Atoms (fractional coordinates):
Tl (0.500, 0.500, 0.500)
Cl (0.000, 0.000, 0.000)
La (0.000, 0.500, 0.000)
La (0.000, 0.000, 0.500)
La (0.500, 0.000, 0.000)

Values from the calculation:
* ΔE to the lowest computed polymorph: 0 meV per atom
* SG: Pm-3m



[4]
The following is a DFT calculation (PBE-GGA) of an optimized crystal structure of La4TlCl.

abc: 6.537 6.537 6.537
angles: 60.00 60.00 60.00
Atoms (fractional coordinates):
La (0.865, 0.378, 0.378)
La (0.378, 0.378, 0.865)
La (0.378, 0.865, 0.378)
La (0.378, 0.378, 0.378)
Tl (0.750, 0.750, 0.750)
Cl (0.000, 0.000, 0.000)

Values from the calculation:
* SG: F-43m



[5]
The following is a DFT calculation (PBE-GGA) of an optimized crystal structure of La4TlCl4.

abc: 5.838 7.352 7.352
angles: 80.93 66.61 66.61
Atoms (fractional coordinates):
La (0.321, 0.773, 0.584)
La (0.679, 0.227, 0.416)
La (0.906, 0.416, 0.773)
La (0.094, 0.584, 0.227)
Tl (0.000, 0.000, 0.000)
Cl (0.784, 0.826, 0.605)
Cl (0.611, 0.605, 0.174)
Cl (0.216, 0.174, 0.395)
Cl (0.389, 0.395, 0.826)

Values from the calculation:
* SG: I4/m



[6]
The following is a DFT calculation (PBE-GGA) of an optimized crystal structure of LaTl4Cl7.

abc: 5.498 7.581 11.534
angles: 112.09 103.79 90.00
Atoms (fractional coordinates):
La (0.000, 0.000, 0.000)
Tl (0.413, 0.456, 0.826)
Tl (0.587, 0.544, 0.174)
Tl (0.292, 0.822, 0.583)
Tl (0.708, 0.178, 0.417)
Cl (0.114, 0.329, 0.229)
Cl (0.886, 0.671, 0.771)
Cl (0.925, 0.217, 0.850)
Cl (0.075, 0.783, 0.150)
Cl (0.722, 0.794, 0.443)
Cl (0.500, 0.000, 0.000)
Cl (0.278, 0.206, 0.557)

Values from the calculation:
* SG: C2/m



[7]
The following is a DFT calculation (PBE-GGA) of an optimized crystal structure of La3TlCl3.

abc: 6.150 6.150 6.150
angles: 90.00 90.00 90.00
Atoms (fractional coordinates):
La (0.500, 0.000, 0.500)
La (0.500, 0.500, 0.000)
La (0.000, 0.500, 0.500)
Tl (0.500, 0.500, 0.500)
Cl (0.000, 0.500, 0.000)
Cl (0.000, 0.000, 0.500)
Cl (0.500, 0.000, 0.000)

Values from the calculation:
* ΔE to the lowest computed polymorph: 0 meV per atom
* SG: Pm-3m



[8]
The following is a DFT calculation (PBE-GGA) of an optimized crystal structure of LaTl5Cl8.

abc: 8.234 8.234 8.234
angles: 110.23 110.23 107.96
Atoms (fractional coordinates):
La (0.250, 0.750, 0.500)
Tl (0.874, 0.252, 0.861)
Tl (0.748, 0.609, 0.623)
Tl (0.391, 0.013, 0.139)
Tl (0.500, 0.500, 0.000)
Tl (0.987, 0.126, 0.377)
Cl (0.031, 0.748, 0.138)
Cl (0.252, 0.390, 0.283)
Cl (0.571, 0.839, 0.395)
Cl (0.161, 0.556, 0.732)
Cl (0.824, 0.429, 0.268)
Cl (0.106, 0.969, 0.717)
Cl (0.610, 0.894, 0.862)
Cl (0.444, 0.176, 0.605)

Values from the calculation:
* SG: I-4



[9]
The following is a DFT calculation (PBE-GGA) of an optimized crystal structure of La3TlCl3.

abc: 10.704 10.678 10.681
angles: 109.55 109.65 109.64
Atoms (fractional coordinates):
La (0.005, 0.503, 0.253)
La (0.497, 0.995, 0.247)
La (0.250, 0.997, 0.503)
La (0.003, 0.750, 0.997)
La (0.003, 0.253, 0.505)
La (0.747, 0.997, 0.995)
La (0.753, 0.505, 0.503)
La (0.747, 0.750, 0.253)
La (0.495, 0.247, 0.997)
La (0.250, 0.253, 0.247)
La (0.753, 0.247, 0.750)
La (0.497, 0.503, 0.750)
Tl (0.750, 0.500, 0.000)
Tl (0.500, 0.250, 0.500)
Tl (0.750, 0.250, 0.250)
Tl (0.000, 0.000, 0.250)
Cl (0.252, 0.002, 0.005)
Cl (0.750, 0.748, 0.752)
Cl (0.505, 0.752, 0.002)
Cl (0.998, 0.250, 0.002)
Cl (0.248, 0.752, 0.250)
Cl (0.502, 0.498, 0.250)
Cl (0.252, 0.250, 0.748)
Cl (0.248, 0.495, 0.498)
Cl (0.750, 0.002, 0.498)
Cl (0.995, 0.498, 0.748)
Cl (0.998, 0.748, 0.495)
Cl (0.502, 0.005, 0.752)

Values from the calculation:
* ΔE to the lowest computed polymorph: 5 meV per atom
* SG: C2



[10]
The following is a DFT calculation (PBE-GGA) of an optimized crystal structure of LaTmCl6.

abc: 7.122 7.122 6.783
angles: 97.26 97.26 122.96
Atoms (fractional coordinates):
La (0.000, 0.000, 0.000)
Tm (0.500, 0.500, 0.500)
Cl (0.591, 0.874, 0.737)
Cl (0.874, 0.591, 0.737)
Cl (0.126, 0.409, 0.263)
Cl (0.409, 0.126, 0.263)
Cl (0.255, 0.255, 0.739)
Cl (0.745, 0.745, 0.261)

Values from the calculation:
* SG: C2/m



[11]
The following is a DFT calculation (PBE-GGA) of an optimized crystal structure of La3TmCl.

abc: 5.557 5.557 5.557
angles: 90.00 90.00 90.00
Atoms (fractional coordinates):
Cl (0.000, 0.000, 0.000)
Tm (0.500, 0.500, 0.500)
La (0.000, 0.500, 0.000)
La (0.000, 0.000, 0.500)
La (0.500, 0.000, 0.000)

Values from the calculation:
* SG: Pm-3m



[12]
The following is a DFT calculation (PBE-GGA) of an optimized crystal structure of LaTmCl.

abc: 7.381 3.677 3.677
angles: 120.00 90.00 90.00
Atoms (fractional coordinates):
Cl (0.024, 0.000, 0.000)
Tm (0.298, 0.333, 0.667)
La (0.678, 0.667, 0.333)

Values from the calculation:
* SG: P3m1



What final energy values result from the calculations? In sequence: -4.5834, -4.7278, -4.4604, -3.9973, -4.6275, -3.7184, -4.6965, -3.6626, -4.6914, -4.8599, -4.7494, -4.6520 eV per atom.